12
Lattice="-0.804 -2.746 -5.582 4.410 -2.112 3.928 -8.940 -5.746 5.285" Properties=species:S:1:pos:R:3 comment="PBE Tb3Nd6Dy2Tm, relaxed" delta_e_f_ev_per_atom=0.0116 total_energy_ev_per_atom=-4.67 pbc="T T T"
Nd -4.877 -8.066 1.146
Nd -2.192 -2.749 -0.681
Nd -0.456 -2.538 2.485
Nd 0.479 -5.077 0.076
Nd -5.813 -5.528 3.556
Nd -3.141 -7.856 4.312
Tb -0.929 -5.091 4.986
Tb -4.405 -5.513 -1.354
Tb -2.667 -5.302 1.816
Tm 0.000 0.000 0.000
Dy 0.934 -2.535 -2.412
Dy 2.672 -2.323 0.758